VASP calculation (GGA-PBE) on a relaxed structure of Al3CuPd.

```
Al3CuPd
1.0
-3.0517 3.1718 -0.7560
-0.1509 -1.1718 -4.3069
-3.2571 -2.9175 0.9079
Cu Al Pd
1 3 1
Direct
0.0000 0.0000 0.0000
0.5000 0.0000 0.0000
0.0000 0.5000 0.0000
0.0000 0.0000 0.5000
0.5000 0.5000 0.5000
```

Properties
The value obtained for the density of states at the Fermi level is 1.44 states/eV/f.u. Its crystal system is cubic. The calculated formation energy is 0.1811 eV per atom.